(1)
## Eu2ErZn (PBE-GGA)

Data for crystalline Eu2ErZn at its relaxed geometry.

CIF file:
```
data_Eu2ErZn
_chemical_formula_sum 'Eu2 Er1 Zn1'
_cell_length_a 4.8984
_cell_length_b 4.8984
_cell_length_c 4.9575
_cell_angle_alpha 90.00
_cell_angle_beta 90.00
_cell_angle_gamma 90.00
_space_group_name_H-M_alt 'P 4/m m m'
_space_group_IT_number 123
_space_group_name_Hall '-P 4 2'
loop_
_atom_site_label
_atom_site_type_symbol
_atom_site_fract_x
_atom_site_fract_y
_atom_site_fract_z
_atom_site_occupancy
Eu1 Eu 0.0000 0.5000 0.0000 1
Er1 Er 0.0000 0.0000 0.5000 1
Zn1 Zn 0.5000 0.5000 0.5000 1
```

Magnetic moment   15.10 Bohr magnetons per cell
Energy of formation   0.0613 eV/atom



(2)
## EuErZr (PBE-GGA)

Data for crystalline EuErZr at its relaxed geometry.

CIF file:
```
data_EuErZr
_chemical_formula_sum 'Eu2 Er2 Zr2'
_cell_length_a 3.4181
_cell_length_b 3.4181
_cell_length_c 15.3117
_cell_angle_alpha 90.00
_cell_angle_beta 90.00
_cell_angle_gamma 90.00
_space_group_name_H-M_alt 'I 4 m m'
_space_group_IT_number 107
_space_group_name_Hall 'I 4 -2'
loop_
_atom_site_label
_atom_site_type_symbol
_atom_site_fract_x
_atom_site_fract_y
_atom_site_fract_z
_atom_site_occupancy
Eu1 Eu 0.0000 0.0000 0.0000 1
Er1 Er 0.0000 0.0000 0.6914 1
Zr1 Zr 0.0000 0.0000 0.3319 1
```

Magnetic moment   14.46 Bohr magnetons per cell
Energy of formation   0.1501 eV/atom



(3)
## EuErZr (PBE-GGA)

Data for crystalline EuErZr at its relaxed geometry.

CIF file:
```
data_EuErZr
_chemical_formula_sum 'Eu1 Er1 Zr1'
_cell_length_a 3.4453
_cell_length_b 3.4453
_cell_length_c 8.6378
_cell_angle_alpha 90.00
_cell_angle_beta 90.00
_cell_angle_gamma 120.00
_space_group_name_H-M_alt 'P 3 m 1'
_space_group_IT_number 156
loop_
_space_group_symop_operation_xyz
'x,y,z'
'-y,x-y,z'
'-x+y,-x,z'
'-y,-x,z'
'-x+y,y,z'
'x,x-y,z'
loop_
_atom_site_label
_atom_site_type_symbol
_atom_site_fract_x
_atom_site_fract_y
_atom_site_fract_z
_atom_site_occupancy
Eu1 Eu 0.0000 0.0000 0.0000 1
Er1 Er 0.3333 0.6667 0.6244 1
Zr1 Zr 0.6667 0.3333 0.3304 1
```

Magnetic moment   7.53 Bohr magnetons per cell
Energy of formation   0.1699 eV/atom



(4)
## Er2F5 (PBE-GGA)

Data for crystalline Er2F5 at its relaxed geometry.

CIF file:
```
data_Er2F5
_chemical_formula_sum 'Er8 F20'
_cell_length_a 12.2092
_cell_length_b 4.8809
_cell_length_c 6.5415
_cell_angle_alpha 90.00
_cell_angle_beta 101.13
_cell_angle_gamma 90.00
_space_group_name_H-M_alt 'C 1 2/c 1'
_space_group_IT_number 15
loop_
_space_group_symop_operation_xyz
'x,y,z'
'-x,-y,-z'
'-x,y,-z+1/2'
'x,-y,z+1/2'
'x+1/2,y+1/2,z'
'-x+1/2,-y+1/2,-z'
'-x+1/2,y+1/2,-z+1/2'
'x+1/2,-y+1/2,z+1/2'
loop_
_atom_site_label
_atom_site_type_symbol
_atom_site_fract_x
_atom_site_fract_y
_atom_site_fract_z
_atom_site_occupancy
Er1 Er 0.1101 0.2214 0.1058 1
F1 F 0.0000 0.0771 0.7500 1
F2 F 0.0775 0.3955 0.4112 1
F3 F 0.2121 0.0633 0.8590 1
```

Formation energy from raw total energies   -357.28 kJ/mol of atoms
Magnetic moment   0.00 Bohr magnetons per cell



- magnetic moment of number 4 (Er2F5)?
  0.00 Bohr magnetons per cell



- magnetic moment of number 2 (EuErZr)?
  14.46 Bohr magnetons per cell



- What is the magnetic moment in the first record?
  15.10 Bohr magnetons per cell



- What is the magnetic moment in the third record?
  7.53 Bohr magnetons per cell